# Pr2ErSn (GGA-PBE, relaxed)
# Formation energy from the elements in eV per formula unit: -1.70
# ρ in g/cm³: 7.89
data_Pr2ErSn
_chemical_formula_sum 'Pr2 Er1 Sn1'
_space_group_name_H-M_alt 'P 4/m m m'
_space_group_IT_number 123
_space_group_name_Hall '-P 4 2'
_cell_length_a 4.897
_cell_length_b 4.897
_cell_length_c 4.982
_cell_angle_alpha 90.00
_cell_angle_beta 90.00
_cell_angle_gamma 90.00
loop_
_atom_site_label
_atom_site_type_symbol
_atom_site_fract_x
_atom_site_fract_y
_atom_site_fract_z
_atom_site_occupancy
Pr1 Pr 0.000 0.500 0.000 1
Er1 Er 0.000 0.000 0.500 1
Sn1 Sn 0.500 0.500 0.500 1